Tl2MoW (GGA-PBE, optimized geometry); calculated total energy = -6.540 eV/atom; E above lowest polymorph = 0.046 eV/atom; volume = 21.91 A^3/atom; spin magnetization = 0.00 μB/cell
1.0
1.6536 -2.5353 0.0000
1.6536 2.5353 0.0000
0.0000 0.0000 10.4498
Tl Mo W
2 1 1
direct
0.0000 0.0000 0.0000
0.5000 0.5000 0.3094
0.0000 0.0000 0.5621
0.5000 0.5000 0.7428

=====

Tl2MoW (GGA-PBE, optimized geometry); calculated total energy = -5.957 eV/atom; E above lowest polymorph = 0.628 eV/atom; volume = 19.56 A^3/atom; spin magnetization = 0.64 μB/cell
1.0
-2.0723 2.0723 4.5542
2.0723 -2.0723 4.5542
2.0723 2.0723 -4.5542
Tl Mo W
2 1 1
direct
0.2500 0.7500 0.5000
0.7500 0.2500 0.5000
0.0000 0.0000 0.0000
0.5000 0.5000 0.0000

=====

TlMo2W (GGA-PBE, optimized geometry); calculated total energy = -8.761 eV/atom; E above lowest polymorph = 0.046 eV/atom; volume = 18.14 A^3/atom; spin magnetization = 0.00 μB/cell
1.0
3.1268 0.0000 0.0000
0.0000 3.1268 0.0000
0.0000 0.0000 7.4204
Tl Mo W
1 2 1
direct
0.0000 0.0000 0.0000
0.5000 0.5000 0.2924
0.5000 0.5000 0.7076
0.0000 0.0000 0.5000

=====

TlMo2W (GGA-PBE, optimized geometry); calculated total energy = -8.580 eV/atom; E above lowest polymorph = 0.227 eV/atom; volume = 17.24 A^3/atom; spin magnetization = 0.00 μB/cell
1.0
-2.0210 2.0210 4.2201
2.0210 -2.0210 4.2201
2.0210 2.0210 -4.2201
Tl Mo W
1 2 1
direct
0.0000 0.0000 0.0000
0.5000 0.5000 0.0000
0.7500 0.2500 0.5000
0.2500 0.7500 0.5000

=====

Tl2MoW (GGA-PBE, optimized geometry); calculated total energy = -5.633 eV/atom; E above lowest polymorph = 0.953 eV/atom; volume = 21.39 A^3/atom; spin magnetization = 3.95 μB/cell
1.0
-3.8623 3.8623 2.8678
3.8623 -3.8623 2.8678
3.8623 3.8623 -2.8678
Tl Mo W
4 2 2
direct
0.1248 0.1250 0.4998
0.3750 0.8752 0.0002
0.6252 0.6250 0.5002
0.8750 0.3748 0.9998
0.0000 0.0000 0.0000
0.7500 0.2500 0.5000
0.2500 0.7500 0.5000
0.5000 0.5000 0.0000

=====

TlZnMoW2 (GGA-PBE, optimized geometry); calculated total energy = -5.204 eV/atom; volume = 22.69 A^3/atom; spin magnetization = 1.25 μB/cell
1.0
5.0248 0.0000 0.0000
0.0000 5.0248 0.0000
0.0000 0.0000 4.4930
Tl Zn Mo W
1 1 1 2
direct
0.0000 0.0000 0.0000
0.0000 0.0000 0.5000
0.5000 0.5000 0.5000
0.0000 0.5000 0.0000
0.5000 0.0000 0.0000

=====

YTlMo3 (GGA-PBE, optimized geometry); calculated total energy = -6.188 eV/atom; E above lowest polymorph = 0.000 eV/atom; volume = 25.40 A^3/atom; spin magnetization = 0.00 μB/cell
1.0
5.0263 0.0000 0.0000
0.0000 5.0263 0.0000
0.0000 0.0000 5.0263
Y Tl Mo
1 1 3
direct
0.0000 0.0000 0.0000
0.5000 0.5000 0.5000
0.0000 0.5000 0.5000
0.5000 0.0000 0.5000
0.5000 0.5000 0.0000

=====

Y2TlMo (GGA-PBE, optimized geometry); calculated total energy = -6.132 eV/atom; E above lowest polymorph = 0.333 eV/atom; volume = 24.85 A^3/atom; spin magnetization = 0.00 μB/cell
1.0
5.4590 0.0000 0.0000
0.0000 3.2749 0.0000
-2.6093 0.0000 5.5603
Y Tl Mo
2 1 1
direct
0.0000 0.0000 0.0000
0.0000 0.5000 0.5000
0.5000 0.0000 0.5000
0.5000 0.5000 0.0000